Density functional theory data (PBE) for a relaxed MgPaNO crystal.

Lattice parameters (Å, degrees): 3.816 3.816 8.214 90.00 90.00 90.00
Space group P4/nmm (No. 129, origin choice 2)
Asymmetric unit:
Mg 0.250 0.750 0.000 (multiplicity 2)
Pa 0.250 0.250 0.334 (multiplicity 2)
N 0.250 0.250 0.877 (multiplicity 2)
O 0.250 0.750 0.500 (multiplicity 2)

Output
total energy = -7.007 eV per atom
ΔE to the lowest computed polymorph = 429 meV/atom
mass density = 7.92 g/cm³
total magnetization = 2.0 μB/f.u.

=====

Density functional theory data (PBE) for a relaxed MgPaNO crystal.

Lattice parameters (Å, degrees): 3.832 6.107 5.275 90.00 90.00 90.00
Space group Pmc2_1 (No. 26)
Asymmetric unit:
Mg 0.000 0.198 0.000 (multiplicity 2)
Pa 0.500 0.309 0.491 (multiplicity 2)
N 0.500 0.322 0.948 (multiplicity 2)
O 0.000 0.111 0.370 (multiplicity 2)

Output
total energy = -7.373 eV per atom
ΔE to the lowest computed polymorph = 64 meV/atom
mass density = 7.68 g/cm³
total magnetization = 1.3 μB/f.u.

=====

Density functional theory data (PBE) for a relaxed MgPaNO crystal.

Lattice parameters (Å, degrees): 4.849 4.849 4.799 90.00 90.00 90.00
Space group P4/nmm (No. 129, origin choice 2)
Asymmetric unit:
Mg 0.250 0.250 0.001 (multiplicity 2)
Pa 0.250 0.750 0.500 (multiplicity 2)
N 0.250 0.250 0.501 (multiplicity 2)
O 0.250 0.750 0.000 (multiplicity 2)

Output
total energy = -7.323 eV per atom
ΔE to the lowest computed polymorph = 114 meV/atom
mass density = 8.40 g/cm³
total magnetization = 1.1 μB/f.u.

=====

Density functional theory data (PBE) for a relaxed MgPaNO crystal.

Lattice parameters (Å, degrees): 5.892 7.989 5.128 90.00 90.00 90.00
Space group Pca2_1 (No. 29)
Asymmetric unit:
Mg 0.074 0.102 0.000 (multiplicity 4)
Pa 0.046 0.638 0.037 (multiplicity 4)
N 0.066 0.660 0.539 (multiplicity 4)
O 0.105 0.092 0.610 (multiplicity 4)

Output
total energy = -7.436 eV per atom
ΔE to the lowest computed polymorph = 0 meV/atom
mass density = 7.85 g/cm³
total magnetization = 1.1 μB/f.u.

=====

Density functional theory data (PBE) for a relaxed MgPaNO crystal.

Lattice parameters (Å, degrees): 3.608 6.505 5.472 90.00 90.00 90.00
Space group Pmc2_1 (No. 26)
Asymmetric unit:
Mg 0.000 0.153 0.000 (multiplicity 2)
Pa 0.500 0.340 0.477 (multiplicity 2)
N 0.000 0.148 0.386 (multiplicity 2)
O 0.500 0.291 0.908 (multiplicity 2)

Output
total energy = -7.314 eV per atom
ΔE to the lowest computed polymorph = 122 meV/atom
mass density = 7.38 g/cm³
total magnetization = 1.8 μB/f.u.

=====

Density functional theory data (PBE) for a relaxed PmMgNO crystal.

Lattice parameters (Å, degrees): 3.817 3.817 7.942 90.00 90.00 90.00
Space group P4/nmm (No. 129, origin choice 2)
Asymmetric unit:
Pm 0.250 0.250 0.155 (multiplicity 2)
Mg 0.250 0.750 0.500 (multiplicity 2)
N 0.250 0.250 0.620 (multiplicity 2)
O 0.250 0.750 0.000 (multiplicity 2)

Output
total energy = -6.638 eV per atom
ΔE to the lowest computed polymorph = 239 meV/atom
mass density = 5.72 g/cm³
total magnetization = 0.0 μB/f.u.

=====

Density functional theory data (PBE) for a relaxed PmMgNO crystal.

Lattice parameters (Å, degrees): 5.868 7.782 5.217 90.00 90.00 90.00
Space group Pca2_1 (No. 29)
Asymmetric unit:
Pm 0.046 0.148 0.000 (multiplicity 4)
Mg 0.074 0.606 0.980 (multiplicity 4)
N 0.056 0.146 0.529 (multiplicity 4)
O 0.110 0.586 0.603 (multiplicity 4)

Output
total energy = -6.878 eV per atom
ΔE to the lowest computed polymorph = 0 meV/atom
mass density = 5.56 g/cm³
total magnetization = 0.0 μB/f.u.

=====

Density functional theory data (PBE) for a relaxed PmMgNO crystal.

Lattice parameters (Å, degrees): 6.231 7.060 5.769 90.00 90.00 90.00
Space group Pca2_1 (No. 29)
Asymmetric unit:
Pm 0.066 0.158 0.000 (multiplicity 4)
Mg 0.088 0.606 0.015 (multiplicity 4)
N 0.106 0.607 0.658 (multiplicity 4)
O 0.075 0.136 0.597 (multiplicity 4)

Output
total energy = -6.661 eV per atom
ΔE to the lowest computed polymorph = 217 meV/atom
mass density = 5.22 g/cm³
total magnetization = 0.0 μB/f.u.

=====

Look up the ΔE to the lowest computed polymorph of the third one. 114 meV/atom

=====

Look up the total energy of the seventh one. -6.878 eV per atom

=====

Which formula does entry 2 have? MgPaNO

=====

What is the formula in the third record? MgPaNO